A plane-wave DFT calculation with PBE was carried out for crystalline Tl4I2Cl at its relaxed geometry.

The density of states at the Fermi level comes out at 4.86 states/eV/cell. As for the formation energy from raw total energies: -0.454 eV/atom. The value obtained for the total magnetization is 0.0 μB/cell.

It has space group I4/mmm (No. 139), with a = 5.9972 Å, b = 5.9972 Å, c = 17.4743 Å, α = 90.00°, β = 90.00° and γ = 90.00°. The inequivalent atoms are Tl at (0.0000, 0.0000, 0.1758), Tl at (0.0000, 0.5000, 0.0000), I at (0.0000, 0.0000, 0.3721) and Cl at (0.0000, 0.0000, 0.0000).